! LaGePd2Pt2 PBE relaxed; values from VASP
&SYSTEM
  ibrav = 0, nat = 6, ntyp = 4
/
ATOMIC_SPECIES
Pd 106.42 Pd.upf
La 138.91 La.upf
Ge 72.64 Ge.upf
Pt 195.08 Pt.upf
CELL_PARAMETERS angstrom
-1.823 3.306 2.836
-4.287 -1.908 -0.531
0.939 -3.372 4.534
ATOMIC_POSITIONS crystal
Pd 0.500 0.500 0.741
Pd 0.500 0.500 0.259
La 0.000 0.000 0.500
Ge 0.000 0.000 0.000
Pt 0.000 0.500 0.000
Pt 0.500 0.000 0.000
! DOS(E_F) ... 0.98 states/eV per atom
! Symmetry ... No. 123
! Energy ... -5.59 eV per atom
! Theoretical density ... 10.59 g cm⁻³

! LaGe2Pd2Pt PBE relaxed; values from VASP
&SYSTEM
  ibrav = 0, nat = 6, ntyp = 4
/
ATOMIC_SPECIES
La 138.91 La.upf
Pt 195.08 Pt.upf
Pd 106.42 Pd.upf
Ge 72.64 Ge.upf
CELL_PARAMETERS angstrom
-2.433 2.273 2.643
-3.159 -2.799 -0.501
5.360 -3.658 4.661
ATOMIC_POSITIONS crystal
La 0.500 0.500 0.000
Pt 0.000 0.000 0.000
Pd 0.250 0.750 0.500
Pd 0.750 0.250 0.500
Ge 0.837 0.837 0.674
Ge 0.163 0.163 0.326
! DOS(E_F) ... 0.74 states/eV per atom
! Symmetry ... No. 139
! Energy ... -5.75 eV per atom
! Theoretical density ... 8.59 g cm⁻³

! LaGePdPt PBE relaxed; values from VASP
&SYSTEM
  ibrav = 0, nat = 8, ntyp = 4
/
ATOMIC_SPECIES
Ge 72.64 Ge.upf
Pt 195.08 Pt.upf
La 138.91 La.upf
Pd 106.42 Pd.upf
CELL_PARAMETERS angstrom
4.129 0.000 0.000
0.000 4.129 0.000
0.000 0.000 9.973
ATOMIC_POSITIONS crystal
Ge 0.500 0.000 0.644
Ge 0.000 0.500 0.356
Pt 0.000 0.500 0.102
Pt 0.500 0.000 0.898
La 0.500 0.000 0.209
La 0.000 0.500 0.791
Pd 0.000 0.000 0.500
Pd 0.500 0.500 0.500
! DOS(E_F) ... 0.59 states/eV per atom
! Symmetry ... No. 129
! Energy ... -6.07 eV per atom
! Theoretical density ... 10.02 g cm⁻³

! La2Ge3PdPt12 PBE relaxed; values from VASP
&SYSTEM
  ibrav = 0, nat = 18, ntyp = 4
/
ATOMIC_SPECIES
Ge 72.64 Ge.upf
Pt 195.08 Pt.upf
La 138.91 La.upf
Pd 106.42 Pd.upf
CELL_PARAMETERS angstrom
7.871 -0.229 -0.162
3.688 6.957 -0.162
3.688 2.147 6.620
ATOMIC_POSITIONS crystal
Ge 0.000 0.000 0.500
Ge 0.500 0.000 0.000
Ge 0.000 0.500 0.000
Pt 0.636 0.110 0.636
Pt 0.133 0.620 0.133
Pt 0.620 0.133 0.133
Pt 0.110 0.636 0.636
Pt 0.636 0.636 0.110
Pt 0.133 0.133 0.620
Pt 0.890 0.364 0.364
Pt 0.380 0.867 0.867
Pt 0.867 0.867 0.380
Pt 0.364 0.890 0.364
Pt 0.364 0.364 0.890
Pt 0.867 0.380 0.867
La 0.619 0.619 0.619
La 0.381 0.381 0.381
Pd 0.000 0.000 0.000
! DOS(E_F) ... 0.36 states/eV per atom
! Symmetry ... No. 166
! Energy ... -5.93 eV per atom
! Theoretical density ... 13.07 g cm⁻³

! La2PuGe4Pd3 PBE relaxed; values from VASP
&SYSTEM
  ibrav = 0, nat = 10, ntyp = 4
/
ATOMIC_SPECIES
La 138.91 La.upf
Ge 72.64 Ge.upf
Pd 106.42 Pd.upf
Pu 244.00 Pu.upf
CELL_PARAMETERS angstrom
4.371 0.000 0.000
0.000 4.371 0.000
0.000 0.000 11.396
ATOMIC_POSITIONS crystal
La 0.500 0.000 0.230
La 0.000 0.500 0.770
Ge 0.000 0.000 0.000
Ge 0.000 0.500 0.334
Ge 0.500 0.000 0.666
Ge 0.500 0.500 0.000
Pd 0.000 0.000 0.500
Pd 0.500 0.000 0.885
Pd 0.000 0.500 0.115
Pu 0.500 0.500 0.500
! DOS(E_F) ... 1.67 states/eV per atom
! Symmetry ... No. 115
! Energy ... -6.53 eV per atom
! Theoretical density ... 8.63 g cm⁻³

! LaPu2Ge2Pd7 PBE relaxed; values from VASP
&SYSTEM
  ibrav = 0, nat = 12, ntyp = 4
/
ATOMIC_SPECIES
Pd 106.42 Pd.upf
Ge 72.64 Ge.upf
Pu 244.00 Pu.upf
La 138.91 La.upf
CELL_PARAMETERS angstrom
-2.575 -2.511 2.002
3.158 -2.261 1.364
1.115 6.498 12.553
ATOMIC_POSITIONS crystal
Pd 0.554 0.054 0.841
Pd 0.446 0.946 0.159
Pd 0.500 0.500 0.000
Pd 0.651 0.651 0.563
Pd 0.946 0.446 0.159
Pd 0.054 0.554 0.841
Pd 0.349 0.349 0.437
Ge 0.588 0.588 0.740
Ge 0.412 0.412 0.260
Pu 0.884 0.884 0.360
Pu 0.116 0.116 0.640
La 0.000 0.000 0.000
! DOS(E_F) ... 2.36 states/eV per atom
! Symmetry ... No. 12
! Energy ... -7.20 eV per atom
! Theoretical density ... 10.59 g cm⁻³

! LaPuGePd PBE relaxed; values from VASP
&SYSTEM
  ibrav = 0, nat = 4, ntyp = 4
/
ATOMIC_SPECIES
Pd 106.42 Pd.upf
Pu 244.00 Pu.upf
Ge 72.64 Ge.upf
La 138.91 La.upf
CELL_PARAMETERS angstrom
-3.196 -1.463 3.780
-3.282 -3.910 -0.764
0.744 -4.503 2.410
ATOMIC_POSITIONS crystal
Pd 0.000 0.000 0.000
Pu 0.250 0.250 0.250
Ge 0.500 0.500 0.500
La 0.750 0.750 0.750
! DOS(E_F) ... 2.84 states/eV per atom
! Symmetry ... No. 216
! Energy ... -7.79 eV per atom
! Theoretical density ... 9.59 g cm⁻³

! La3Ge6Pd2Rh PBE relaxed; values from VASP
&SYSTEM
  ibrav = 0, nat = 12, ntyp = 4
/
ATOMIC_SPECIES
Rh 102.91 Rh.upf
Pd 106.42 Pd.upf
Ge 72.64 Ge.upf
La 138.91 La.upf
CELL_PARAMETERS angstrom
-0.803 -6.100 0.076
3.175 2.741 4.501
-6.759 0.942 4.195
ATOMIC_POSITIONS crystal
Rh 0.000 0.000 0.500
Pd 0.667 0.333 0.961
Pd 0.333 0.667 0.039
Ge 0.809 0.618 0.693
Ge 0.382 0.191 0.693
Ge 0.191 0.382 0.307
Ge 0.618 0.809 0.307
Ge 0.809 0.191 0.693
Ge 0.191 0.809 0.307
La 0.667 0.333 0.336
La 0.000 0.000 0.000
La 0.333 0.667 0.664
! DOS(E_F) ... 0.57 states/eV per atom
! Symmetry ... No. 164
! Energy ... -5.55 eV per atom
! Theoretical density ... 7.39 g cm⁻³

! La2Ge3Pd4Rh PBE relaxed; values from VASP
&SYSTEM
  ibrav = 0, nat = 10, ntyp = 4
/
ATOMIC_SPECIES
Rh 102.91 Rh.upf
Ge 72.64 Ge.upf
Pd 106.42 Pd.upf
La 138.91 La.upf
CELL_PARAMETERS angstrom
-3.074 1.822 2.326
0.912 -2.607 3.247
7.121 7.196 3.776
ATOMIC_POSITIONS crystal
Rh 0.500 0.500 0.500
Ge 0.500 0.000 0.874
Ge 0.000 0.500 0.126
Ge 0.000 0.000 0.500
Pd 0.500 0.000 0.647
Pd 0.000 0.500 0.353
Pd 0.000 0.000 0.000
Pd 0.500 0.500 0.000
La 0.500 0.000 0.263
La 0.000 0.500 0.737
! DOS(E_F) ... 0.72 states/eV per atom
! Symmetry ... No. 115
! Energy ... -5.93 eV per atom
! Theoretical density ... 8.66 g cm⁻³

! La2Ge6PdRh PBE relaxed; values from VASP
&SYSTEM
  ibrav = 0, nat = 20, ntyp = 4
/
ATOMIC_SPECIES
La 138.91 La.upf
Ge 72.64 Ge.upf
Rh 102.91 Rh.upf
Pd 106.42 Pd.upf
CELL_PARAMETERS angstrom
-5.616 -1.509 -2.193
-1.357 -5.935 -1.247
-6.684 -4.059 11.104
ATOMIC_POSITIONS crystal
La 0.713 0.713 0.861
La 0.130 0.130 0.609
La 0.287 0.287 0.139
La 0.870 0.870 0.391
Ge 0.931 0.346 0.378
Ge 0.193 0.774 0.839
Ge 0.654 0.654 0.622
Ge 0.069 0.654 0.622
Ge 0.226 0.807 0.161
Ge 0.193 0.193 0.839
Ge 0.774 0.193 0.839
Ge 0.807 0.807 0.161
Ge 0.654 0.069 0.622
Ge 0.346 0.346 0.378
Ge 0.346 0.931 0.378
Ge 0.807 0.226 0.161
Rh 0.423 0.423 0.731
Rh 0.577 0.577 0.269
Pd 0.000 0.000 0.000
Pd 0.500 0.500 0.500
! DOS(E_F) ... 0.51 states/eV per atom
! Symmetry ... No. 166
! Energy ... -5.50 eV per atom
! Theoretical density ... 7.00 g cm⁻³

! La2Ge4PdRh3 PBE relaxed; values from VASP
&SYSTEM
  ibrav = 0, nat = 10, ntyp = 4
/
ATOMIC_SPECIES
Ge 72.64 Ge.upf
La 138.91 La.upf
Pd 106.42 Pd.upf
Rh 102.91 Rh.upf
CELL_PARAMETERS angstrom
-1.117 -2.654 3.244
0.118 -3.375 -2.721
9.828 -1.438 2.209
ATOMIC_POSITIONS crystal
Ge 0.500 0.500 0.000
Ge 0.000 0.000 0.000
Ge 0.000 0.500 0.368
Ge 0.500 0.000 0.632
La 0.500 0.000 0.241
La 0.000 0.500 0.759
Pd 0.500 0.500 0.500
Rh 0.000 0.000 0.500
Rh 0.000 0.500 0.125
Rh 0.500 0.000 0.875
! DOS(E_F) ... 0.85 states/eV per atom
! Symmetry ... No. 115
! Energy ... -6.43 eV per atom
! Theoretical density ... 8.53 g cm⁻³

! La2GeSbPd6 PBE relaxed; values from VASP
&SYSTEM
  ibrav = 0, nat = 10, ntyp = 4
/
ATOMIC_SPECIES
Pd 106.42 Pd.upf
La 138.91 La.upf
Sb 121.76 Sb.upf
Ge 72.64 Ge.upf
CELL_PARAMETERS angstrom
6.536 0.400 -1.006
0.447 6.820 -1.234
2.752 2.767 3.916
ATOMIC_POSITIONS crystal
Pd 0.279 0.245 0.487
Pd 0.721 0.755 0.513
Pd 0.720 0.755 0.011
Pd 0.280 0.245 0.989
Pd 0.909 0.414 0.837
Pd 0.091 0.586 0.163
La 0.724 0.228 0.523
La 0.276 0.772 0.477
Sb 0.000 0.000 0.000
Ge 0.500 0.500 0.000
! DOS(E_F) ... 0.48 states/eV per atom
! Symmetry ... No. 2
! Energy ... -5.70 eV per atom
! Theoretical density ... 8.68 g cm⁻³

! La2Ge3SbPd4 PBE relaxed; values from VASP
&SYSTEM
  ibrav = 0, nat = 10, ntyp = 4
/
ATOMIC_SPECIES
Ge 72.64 Ge.upf
Pd 106.42 Pd.upf
La 138.91 La.upf
Sb 121.76 Sb.upf
CELL_PARAMETERS angstrom
4.462 0.000 0.000
0.000 4.462 0.000
0.000 0.000 10.405
ATOMIC_POSITIONS crystal
Ge 0.000 0.000 0.500
Ge 0.000 0.500 0.123
Ge 0.500 0.000 0.877
Pd 0.000 0.500 0.361
Pd 0.000 0.000 0.000
Pd 0.500 0.500 0.000
Pd 0.500 0.000 0.639
La 0.000 0.500 0.761
La 0.500 0.000 0.239
Sb 0.500 0.500 0.500
! DOS(E_F) ... 0.70 states/eV per atom
! Symmetry ... No. 115
! Energy ... -5.70 eV per atom
! Theoretical density ... 8.36 g cm⁻³

! La2ScGe4Pd3 PBE relaxed; values from VASP
&SYSTEM
  ibrav = 0, nat = 10, ntyp = 4
/
ATOMIC_SPECIES
Ge 72.64 Ge.upf
La 138.91 La.upf
Pd 106.42 Pd.upf
Sc 44.96 Sc.upf
CELL_PARAMETERS angstrom
-3.424 2.268 -1.316
-2.415 -1.885 3.035
2.633 8.120 7.140
ATOMIC_POSITIONS crystal
Ge 0.500 0.000 0.650
Ge 0.500 0.500 0.000
Ge 0.000 0.000 0.000
Ge 0.000 0.500 0.350
La 0.000 0.500 0.764
La 0.500 0.000 0.236
Pd 0.000 0.000 0.500
Pd 0.000 0.500 0.123
Pd 0.500 0.000 0.877
Sc 0.500 0.500 0.500
! DOS(E_F) ... 0.45 states/eV per atom
! Symmetry ... No. 115
! Energy ... -5.89 eV per atom
! Theoretical density ... 7.48 g cm⁻³

! La2ScGe3Pd4 PBE relaxed; values from VASP
&SYSTEM
  ibrav = 0, nat = 10, ntyp = 4
/
ATOMIC_SPECIES
Ge 72.64 Ge.upf
Pd 106.42 Pd.upf
La 138.91 La.upf
Sc 44.96 Sc.upf
CELL_PARAMETERS angstrom
4.355 0.000 0.000
0.000 4.355 0.000
0.000 0.000 10.756
ATOMIC_POSITIONS crystal
Ge 0.000 0.000 0.500
Ge 0.500 0.000 0.876
Ge 0.000 0.500 0.124
Pd 0.000 0.500 0.356
Pd 0.500 0.500 0.000
Pd 0.500 0.000 0.644
Pd 0.000 0.000 0.000
La 0.000 0.500 0.766
La 0.500 0.000 0.234
Sc 0.500 0.500 0.500
! DOS(E_F) ... 0.79 states/eV per atom
! Symmetry ... No. 115
! Energy ... -5.96 eV per atom
! Theoretical density ... 7.87 g cm⁻³

! LaScGePd2 PBE relaxed; values from VASP
&SYSTEM
  ibrav = 0, nat = 5, ntyp = 4
/
ATOMIC_SPECIES
Ge 72.64 Ge.upf
Pd 106.42 Pd.upf
La 138.91 La.upf
Sc 44.96 Sc.upf
CELL_PARAMETERS angstrom
-0.013 -1.253 -4.694
-2.456 -4.374 1.174
-4.271 2.241 -0.587
ATOMIC_POSITIONS crystal
Ge 0.000 0.500 0.000
Pd 0.500 0.000 0.000
Pd 0.000 0.000 0.500
La 0.500 0.500 0.500
Sc 0.000 0.000 0.000
! DOS(E_F) ... 1.04 states/eV per atom
! Symmetry ... No. 123
! Energy ... -5.51 eV per atom
! Theoretical density ... 6.41 g cm⁻³

! La2ScGePd6 PBE relaxed; values from VASP
&SYSTEM
  ibrav = 0, nat = 10, ntyp = 4
/
ATOMIC_SPECIES
Pd 106.42 Pd.upf
La 138.91 La.upf
Ge 72.64 Ge.upf
Sc 44.96 Sc.upf
CELL_PARAMETERS angstrom
6.448 0.511 0.954
0.609 6.791 1.273
4.226 4.456 6.218
ATOMIC_POSITIONS crystal
Pd 0.722 0.765 0.002
Pd 0.278 0.235 0.998
Pd 0.763 0.728 0.509
Pd 0.755 0.253 0.158
Pd 0.245 0.747 0.842
Pd 0.237 0.272 0.491
La 0.760 0.242 0.522
La 0.240 0.758 0.478
Ge 0.500 0.500 0.000
Sc 0.000 0.000 0.000
! DOS(E_F) ... 0.51 states/eV per atom
! Symmetry ... No. 2
! Energy ... -5.86 eV per atom
! Theoretical density ... 8.11 g cm⁻³

! La2Si4GePd3 PBE relaxed; values from VASP
&SYSTEM
  ibrav = 0, nat = 10, ntyp = 4
/
ATOMIC_SPECIES
Pd 106.42 Pd.upf
Si 28.09 Si.upf
La 138.91 La.upf
Ge 72.64 Ge.upf
CELL_PARAMETERS angstrom
4.341 0.000 0.000
0.000 4.341 0.000
0.000 0.000 9.960
ATOMIC_POSITIONS crystal
Pd 0.000 0.000 0.500
Pd 0.000 0.500 0.119
Pd 0.500 0.000 0.881
Si 0.000 0.000 0.000
Si 0.500 0.000 0.636
Si 0.000 0.500 0.364
Si 0.500 0.500 0.000
La 0.500 0.000 0.246
La 0.000 0.500 0.754
Ge 0.500 0.500 0.500
! DOS(E_F) ... 0.41 states/eV per atom
! Symmetry ... No. 115
! Energy ... -5.97 eV per atom
! Theoretical density ... 6.92 g cm⁻³

! La2SiGe4Pd3 PBE relaxed; values from VASP
&SYSTEM
  ibrav = 0, nat = 10, ntyp = 4
/
ATOMIC_SPECIES
Ge 72.64 Ge.upf
Si 28.09 Si.upf
Pd 106.42 Pd.upf
La 138.91 La.upf
CELL_PARAMETERS angstrom
4.399 0.000 0.000
0.000 4.399 0.000
0.000 0.000 10.247
ATOMIC_POSITIONS crystal
Ge 0.500 0.500 0.000
Ge 0.000 0.000 0.000
Ge 0.500 0.000 0.632
Ge 0.000 0.500 0.368
Si 0.500 0.500 0.500
Pd 0.000 0.000 0.500
Pd 0.000 0.500 0.127
Pd 0.500 0.000 0.873
La 0.500 0.000 0.248
La 0.000 0.500 0.752
! DOS(E_F) ... 0.38 states/eV per atom
! Symmetry ... No. 115
! Energy ... -5.68 eV per atom
! Theoretical density ... 7.67 g cm⁻³

! La3SiGe6Pd2 PBE relaxed; values from VASP
&SYSTEM
  ibrav = 0, nat = 12, ntyp = 4
/
ATOMIC_SPECIES
Pd 106.42 Pd.upf
La 138.91 La.upf
Ge 72.64 Ge.upf
Si 28.09 Si.upf
CELL_PARAMETERS angstrom
5.754 0.000 0.000
-2.877 4.983 0.000
0.000 0.000 9.407
ATOMIC_POSITIONS crystal
Pd 0.333 0.667 0.053
Pd 0.667 0.333 0.947
La 0.333 0.667 0.590
La 0.667 0.333 0.410
La 0.000 0.000 0.000
Ge 0.654 0.827 0.277
Ge 0.827 0.654 0.723
Ge 0.346 0.173 0.723
Ge 0.827 0.173 0.723
Ge 0.173 0.346 0.277
Ge 0.173 0.827 0.277
Si 0.000 0.000 0.500
! DOS(E_F) ... 0.24 states/eV per atom
! Symmetry ... No. 164
! Energy ... -5.26 eV per atom
! Theoretical density ... 6.73 g cm⁻³